No. 1
Material: BaThPd
Method: DFT, PBE
State: relaxed

- total magnetic moment (Bohr magnetons per cell) = 0.770
- relative energy among the computed polymorphs (eV/atom) = 0.000

a b c (Å): 5.209 5.209 5.209
angles (deg): 60.00 60.00 60.00
Positions (direct):
Ba  0.000  0.000  0.000
Th  0.500  0.500  0.500
Pd  0.250  0.250  0.250

=====

No. 2
Material: Cu2Ag3
Method: DFT, PBE
State: relaxed

- ΔE_f (eV per atom) = 0.094
- relative energy among the computed polymorphs (eV/atom) = 0.062

a b c (Å): 4.810 4.810 8.900
angles (deg): 91.00 91.00 49.04
Positions (direct):
Cu  0.103  0.103  0.293
Cu  0.300  0.300  0.900
Cu  0.700  0.700  0.100
Cu  0.897  0.897  0.707
Ag  0.000  0.000  0.000
Ag  0.202  0.202  0.607
Ag  0.398  0.398  0.192
Ag  0.500  0.500  0.500
Ag  0.602  0.602  0.808
Ag  0.798  0.798  0.393

=====

No. 3
Material: GdFe4P2
Method: DFT, PBE
State: relaxed

- total magnetic moment (Bohr magnetons per cell) = 6.808
- uncorrected energy (eV/atom) = -7.63

a b c (Å): 7.042 7.042 3.607
angles (deg): 90.00 90.00 90.00
Positions (direct):
Gd  0.000  0.000  0.000
Gd  0.500  0.500  0.500
Fe  0.081  0.345  0.500
Fe  0.155  0.581  0.000
Fe  0.345  0.081  0.500
Fe  0.419  0.845  0.000
Fe  0.581  0.155  0.000
Fe  0.655  0.919  0.500
Fe  0.845  0.419  0.000
Fe  0.919  0.655  0.500
P  0.220  0.780  0.500
P  0.280  0.280  0.000
P  0.720  0.720  0.000
P  0.780  0.220  0.500

=====

No. 4
Material: MgAlZnFe
Method: DFT, PBE
State: relaxed

- total magnetic moment (Bohr magnetons per cell) = 1.326
- relative energy among the computed polymorphs (eV/atom) = 0.015

a b c (Å): 4.309 4.309 4.309
angles (deg): 60.00 60.00 60.00
Positions (direct):
Mg  0.000  0.000  0.000
Al  0.250  0.250  0.250
Zn  0.750  0.750  0.750
Fe  0.500  0.500  0.500

=====

No. 5
Material: TcS
Method: DFT, PBE
State: relaxed

- total magnetic moment (Bohr magnetons per cell) = 0.024
- relative energy among the computed polymorphs (eV/atom) = 0.145

a b c (Å): 3.023 3.023 3.526
angles (deg): 90.00 90.00 120.00
Positions (direct):
Tc  0.000  0.000  0.000
S  0.333  0.667  0.500

=====

No. 6
Material: Hf2Be2I
Method: DFT, PBE
State: relaxed

- total magnetic moment (Bohr magnetons per cell) = 0.003
- uncorrected energy (eV/atom) = -5.58

a b c (Å): 7.619 7.619 3.808
angles (deg): 103.53 103.53 27.07
Positions (direct):
Hf  0.191  0.191  0.195
Hf  0.809  0.809  0.805
Be  0.363  0.363  0.356
Be  0.637  0.637  0.644
I  0.000  0.000  0.500